! FeCuPbF6 PBE+U relaxed; values from VASP
&SYSTEM
  ibrav = 0, nat = 18, ntyp = 4
/
ATOMIC_SPECIES
Fe 55.84 Fe.upf
Cu 63.55 Cu.upf
Pb 207.20 Pb.upf
F 19.00 F.upf
CELL_PARAMETERS angstrom
5.536 0.000 0.000
-2.768 4.794 0.000
0.000 0.000 10.415
ATOMIC_POSITIONS angstrom
Fe 0.000 3.196 2.604
Fe 2.768 1.598 7.811
Cu 2.768 1.598 2.604
Cu 0.000 3.196 7.811
Pb 0.000 0.000 0.000
Pb 0.000 0.000 5.208
F 1.647 3.130 1.490
F -0.881 1.803 1.490
F 2.002 0.138 6.697
F 3.649 2.991 8.925
F 0.881 1.803 3.718
F -1.647 3.130 3.718
F 3.534 0.138 8.925
F 0.766 4.656 3.718
F 4.415 1.664 6.697
F -0.766 4.656 1.490
F 1.887 2.991 6.697
F 1.121 1.664 8.925
! Calculated total energy in eV/atom: -4.838